Below is a relaxed Pm12Al3Pd5 crystal, with properties calculated at the PBE level.

Calculated values
Calculated density ... 6.0 g/cm3
Density of states at the Fermi level ... 168.967 states/eV per cell
Size of the total moment ... 0.00 Bohr magnetons per cell
Calculated total energy ... -776.4 eV for the cell shown

abc: 17.3650 17.3650 17.3650
angles: 90.00 90.00 90.00
Space group Ia-3d (No. 230)
Symmetry-distinct sites (fractional):
1 Pm 0.0214 0.0666 0.6500 [96 per cell]
2 Al 0.0000 0.2500 0.1250 [24 per cell]
3 Pd 0.0000 0.0000 0.0000 [16 per cell]
4 Pd 0.0000 0.2500 0.3750 [24 per cell]